{
  "formula": "AcBeZnAu6",
  "functional": "PBE",
  "state": "relaxed",
  "lattice_angstrom": [[-3.959, 4.418, 5.693], [3.959, -4.418, 5.693], [3.959, 4.418, -5.693]],
  "species": ["Ac", "Ac", "Be", "Be", "Zn", "Zn", "Au", "Au", "Au", "Au", "Au", "Au", "Au", "Au", "Au", "Au", "Au", "Au"],
  "fractional_positions": [[0.424, 0.174, 0.250], [0.576, 0.826, 0.750], [0.000, 0.500, 0.500], [0.500, 0.500, 0.000], [0.000, 0.000, 0.500], [0.000, 0.500, 0.000], [0.119, 0.399, 0.267], [0.119, 0.853, 0.721], [0.147, 0.897, 0.250], [0.300, 0.550, 0.750], [0.368, 0.147, 0.767], [0.368, 0.601, 0.221], [0.632, 0.399, 0.779], [0.632, 0.853, 0.233], [0.700, 0.450, 0.250], [0.853, 0.103, 0.750], [0.881, 0.147, 0.279], [0.881, 0.601, 0.733]],
  "sg": "No. 74",
  "magnetic_moment_mub_per_fu": 0.00,
  "dos_at_fermi_per_ev_fu": 2.66,
  "ef_ev_per_atom": -0.22,
  "dft_energy_ev_per_atom": -3.4159
}